Entry from Alexandria: a relaxed Ac2Pm5Pr3 crystal (PBE-GGA).

a b c (Å): 9.114 9.114 10.680
angles (deg): 106.90 106.90 104.03
Fractional coordinates of all 20 atoms:
Ac 0.048 0.295 0.054
Ac 0.295 0.048 0.554
Ac 0.705 0.952 0.446
Ac 0.952 0.705 0.946
Pm 0.020 0.980 0.750
Pm 0.083 0.340 0.679
Pm 0.240 0.760 0.750
Pm 0.340 0.083 0.179
Pm 0.499 0.501 0.750
Pm 0.501 0.499 0.250
Pm 0.660 0.917 0.821
Pm 0.760 0.240 0.250
Pm 0.917 0.660 0.321
Pm 0.980 0.020 0.250
Pr 0.224 0.468 0.436
Pr 0.267 0.733 0.250
Pr 0.468 0.224 0.936
Pr 0.532 0.776 0.064
Pr 0.733 0.267 0.750
Pr 0.776 0.532 0.564

Values from the calculation:
- Formation enthalpy at 0 K: 0.193 eV per atom
- Crystal system: monoclinic
- Total DFT energy (no corrections): -4.438 eV per atom
- Symmetry: No. 15

=====

Entry from Alexandria: a relaxed Ac5Pm3Pr2 crystal (PBE-GGA).

a b c (Å): 10.823 10.823 9.609
angles (deg): 109.51 109.51 114.01
Fractional coordinates of all 20 atoms:
Ac 0.020 0.980 0.750
Ac 0.113 0.388 0.751
Ac 0.218 0.782 0.750
Ac 0.388 0.113 0.251
Ac 0.474 0.526 0.250
Ac 0.526 0.474 0.750
Ac 0.612 0.887 0.749
Ac 0.782 0.218 0.250
Ac 0.887 0.612 0.249
Ac 0.980 0.020 0.250
Pm 0.227 0.486 0.458
Pm 0.282 0.718 0.250
Pm 0.486 0.227 0.958
Pm 0.514 0.773 0.042
Pm 0.718 0.282 0.750
Pm 0.773 0.514 0.542
Pr 0.014 0.286 0.045
Pr 0.286 0.014 0.545
Pr 0.714 0.986 0.455
Pr 0.986 0.714 0.955

Values from the calculation:
- Formation enthalpy at 0 K: 0.164 eV per atom
- Crystal system: monoclinic
- Total DFT energy (no corrections): -4.272 eV per atom
- Symmetry: No. 15

=====

Entry from Alexandria: a relaxed Ac2Pm9Pr crystal (PBE-GGA).

a b c (Å): 5.244 5.244 15.730
angles (deg): 90.00 90.00 90.00
Fractional coordinates of all 12 atoms:
Ac 0.000 0.000 0.168
Ac 0.000 0.000 0.832
Pm 0.000 0.500 0.000
Pm 0.000 0.500 0.338
Pm 0.000 0.500 0.662
Pm 0.500 0.000 0.000
Pm 0.500 0.000 0.338
Pm 0.500 0.000 0.662
Pm 0.500 0.500 0.169
Pm 0.500 0.500 0.500
Pm 0.500 0.500 0.831
Pr 0.000 0.000 0.500

Values from the calculation:
- Formation enthalpy at 0 K: 0.025 eV per atom
- Crystal system: tetragonal
- Total DFT energy (no corrections): -4.621 eV per atom
- Symmetry: No. 123

=====

Entry from Alexandria: a relaxed AcPm7Pr2 crystal (PBE-GGA).

a b c (Å): 9.375 9.375 5.710
angles (deg): 90.00 90.00 123.17
Fractional coordinates of all 10 atoms:
Ac 0.000 0.000 0.000
Pm 0.064 0.297 0.500
Pm 0.232 0.768 0.000
Pm 0.297 0.064 0.500
Pm 0.500 0.500 0.500
Pm 0.703 0.936 0.500
Pm 0.768 0.232 0.000
Pm 0.936 0.703 0.500
Pr 0.298 0.702 0.500
Pr 0.702 0.298 0.500

Values from the calculation:
- Formation enthalpy at 0 K: 0.603 eV per atom
- Crystal system: orthorhombic
- E above lowest polymorph: 0.2250 eV/atom
- Total DFT energy (no corrections): -4.090 eV per atom
- Symmetry: No. 65

=====

Entry from Alexandria: a relaxed AcPm4Pr7 crystal (PBE-GGA).

a b c (Å): 9.073 9.073 10.274
angles (deg): 123.24 123.24 40.37
Fractional coordinates of all 12 atoms:
Ac 0.000 0.000 0.000
Pm 0.315 0.315 0.639
Pm 0.457 0.457 0.289
Pm 0.543 0.543 0.711
Pm 0.685 0.685 0.361
Pr 0.079 0.079 0.439
Pr 0.208 0.208 0.880
Pr 0.266 0.266 0.287
Pr 0.500 0.500 0.000
Pr 0.734 0.734 0.713
Pr 0.792 0.792 0.120
Pr 0.921 0.921 0.561

Values from the calculation:
- Formation enthalpy at 0 K: 0.227 eV per atom
- Crystal system: monoclinic
- E above lowest polymorph: 0.2119 eV/atom
- Total DFT energy (no corrections): -4.487 eV per atom
- Symmetry: No. 12

=====

Entry from Alexandria: a relaxed Ac7Pm2Pr2 crystal (PBE-GGA).

a b c (Å): 3.954 11.357 11.360
angles (deg): 67.05 81.17 81.16
Fractional coordinates of all 11 atoms:
Ac 0.000 0.000 0.000
Ac 0.168 0.077 0.596
Ac 0.169 0.595 0.078
Ac 0.349 0.612 0.611
Ac 0.651 0.388 0.389
Ac 0.831 0.405 0.922
Ac 0.832 0.923 0.404
Pm 0.299 0.209 0.208
Pm 0.701 0.791 0.792
Pr 0.500 0.255 0.745
Pr 0.500 0.745 0.255

Values from the calculation:
- Formation enthalpy at 0 K: 0.096 eV per atom
- Crystal system: triclinic
- E above lowest polymorph: 0.0050 eV/atom
- Total DFT energy (no corrections): -4.251 eV per atom
- Symmetry: No. 2

=====

- What is the formula in the third record?
  Ac2Pm9Pr

=====

Please write out number 4 again, unchanged.
Entry from Alexandria: a relaxed AcPm7Pr2 crystal (PBE-GGA).

a b c (Å): 9.375 9.375 5.710
angles (deg): 90.00 90.00 123.17
Fractional coordinates of all 10 atoms:
Ac 0.000 0.000 0.000
Pm 0.064 0.297 0.500
Pm 0.232 0.768 0.000
Pm 0.297 0.064 0.500
Pm 0.500 0.500 0.500
Pm 0.703 0.936 0.500
Pm 0.768 0.232 0.000
Pm 0.936 0.703 0.500
Pr 0.298 0.702 0.500
Pr 0.702 0.298 0.500

Values from the calculation:
- Formation enthalpy at 0 K: 0.603 eV per atom
- Crystal system: orthorhombic
- E above lowest polymorph: 0.2250 eV/atom
- Total DFT energy (no corrections): -4.090 eV per atom
- Symmetry: No. 65

=====

- Which of these has the highest total DFT energy (no corrections)?
  AcPm7Pr2

=====

- Which formula does entry 1 have?
  Ac2Pm5Pr3